Run P
First-principles (PBE-GGA) data for an optimized crystal structure of BaTaFe, as listed in the Alexandria database.

Unit cell a=6.6610 b=6.6610 c=6.6610 alpha=90.00 beta=90.00 gamma=90.00
Last column: nearest neighbours and their distance in Å.
Space group F-43m (No. 216)
Symmetry-distinct sites (fractional):
Ba  0.0000  0.0000  0.0000  4 Fe 2.88
Ta  0.0000  0.0000  0.5000  4 Fe 2.88
Fe  0.2500  0.2500  0.7500  4 Ba 2.88, 4 Ta 2.88



Run Q
First-principles (PBE-GGA) data for an optimized crystal structure of BaTaFe, as listed in the Alexandria database.

Unit cell a=6.7325 b=6.7325 c=6.7325 alpha=90.00 beta=90.00 gamma=90.00
Last column: nearest neighbours and their distance in Å.
Space group F-43m (No. 216)
Symmetry-distinct sites (fractional):
Ba  0.0000  0.0000  0.0000  4 Fe 2.92, 4 Ta 2.92
Ta  0.2500  0.2500  0.7500  4 Ba 2.92
Fe  0.2500  0.2500  0.2500  4 Ba 2.92



run P comes first in stability; the runner-up is 977 meV/atom higher.



Run P
First-principles (PBE-GGA) data for an optimized crystal structure of Ba2TaFe, as listed in the Alexandria database.

Unit cell a=5.9302 b=5.9302 c=3.3922 alpha=90.00 beta=90.00 gamma=90.00
Last column: nearest neighbours and their distance in Å.
Space group P4/mmm (No. 123)
Symmetry-distinct sites (fractional):
Ba  0.0000  0.5000  0.0000  2 Ba 3.39, 4 Fe 3.42, 4 Ta 3.42
Ta  0.0000  0.0000  0.5000  2 Ta 3.39, 8 Ba 3.42
Fe  0.5000  0.5000  0.5000  2 Fe 3.39, 8 Ba 3.42



Run Q
First-principles (PBE-GGA) data for an optimized crystal structure of Ba2TaFe, as listed in the Alexandria database.

Unit cell a=7.6913 b=7.6913 c=7.6913 alpha=90.00 beta=90.00 gamma=90.00
Last column: nearest neighbours and their distance in Å.
Space group F-43m (No. 216)
Symmetry-distinct sites (fractional):
Ba  0.0000  0.0000  0.0000  4 Ba 3.33, 4 Ta 3.33
Ba  0.2500  0.2500  0.2500  4 Ba 3.33, 4 Fe 3.33
Ta  0.2500  0.2500  0.7500  4 Ba 3.33, 4 Fe 3.33
Fe  0.0000  0.0000  0.5000  4 Ba 3.33, 4 Ta 3.33



Run R
First-principles (PBE-GGA) data for an optimized crystal structure of Ba2TaFe, as listed in the Alexandria database.

Unit cell a=3.5754 b=5.7873 c=11.7998 alpha=90.00 beta=90.00 gamma=90.00
Last column: nearest neighbours and their distance in Å.
Space group Imm2 (No. 44)
Symmetry-distinct sites (fractional):
Ba  0.0000  0.0000  0.0000  2 Fe 3.56, 6 Ba 3.58-3.94, 4 Ta 3.66
Ba  0.0000  0.5000  0.2021  4 Fe 3.47, 4 Ba 3.58-3.75, 2 Ta 3.61
Ta  0.0000  0.0000  0.3853  2 Fe 2.31
Fe  0.0000  0.5000  0.7614  2 Ta 2.31



Run S
First-principles (PBE-GGA) data for an optimized crystal structure of Ba2TaFe, as listed in the Alexandria database.

Unit cell a=4.6307 b=4.6307 c=10.5913 alpha=90.00 beta=90.00 gamma=90.00
Last column: nearest neighbours and their distance in Å.
Space group I4/mmm (No. 139)
Symmetry-distinct sites (fractional):
Ba  0.0000  0.5000  0.2500  4 Ba 3.27, 4 Ta 3.52, 4 Fe 3.52
Ta  0.0000  0.0000  0.0000  4 Fe 3.27, 8 Ba 3.52
Fe  0.0000  0.0000  0.5000  4 Ta 3.27, 8 Ba 3.52



run R comes first in stability; the runner-up is 565 meV/atom higher.